Record 1
A relaxed CdSbSe2 crystal, computed with PBE.

Lattice parameters (Å, degrees): 5.0740 5.0740 5.0740 60.00 60.00 60.00
With the nearest neighbours (Å) after each atom.
Fractional positions:
1 Cd 0.0000 0.0000 0.0000  8 Se 3.11
2 Sb 0.5000 0.5000 0.5000  8 Se 3.11
3 Se 0.2500 0.2500 0.2500  4 Sb 3.11, 4 Cd 3.11
4 Se 0.7500 0.7500 0.7500  4 Sb 3.11, 4 Cd 3.11

Properties
polymorph energy (0 for the lowest one)	0.269	eV/atom
total energy	-3.000	eV per atom
symmetry	Fm-3m
magnetic moment	0.00	μB/f.u.
density of states at the Fermi level	2.15	states/eV per cell
ΔE_f (raw)	0.01	eV/f.u.

Record 2
A relaxed K3PaTe5 crystal, computed with PBE.

Lattice parameters (Å, degrees): 10.8755 10.8755 6.5452 90.00 90.00 120.00
With the nearest neighbours (Å) after each atom.
Fractional positions:
1 K 0.0000 0.3879 0.2500  9 Te 3.68-4.11, 2 K 4.08
2 K 0.0000 0.6121 0.7500  9 Te 3.68-4.11, 2 K 4.08
3 K 0.3879 0.0000 0.2500  9 Te 3.68-4.11, 2 K 4.08
4 K 0.3879 0.3879 0.7500  9 Te 3.68-4.11, 2 K 4.08
5 K 0.6121 0.0000 0.7500  9 Te 3.68-4.11, 2 K 4.08
6 K 0.6121 0.6121 0.2500  9 Te 3.68-4.11, 2 K 4.08
7 Pa 0.0000 0.0000 0.0000  6 Te 3.02, 2 Pa 3.27
8 Pa 0.0000 0.0000 0.5000  6 Te 3.02, 2 Pa 3.27
9 Te 0.0000 0.2338 0.7500  2 Pa 3.02
10 Te 0.0000 0.7662 0.2500  2 Pa 3.02
11 Te 0.2338 0.0000 0.7500  2 Pa 3.02
12 Te 0.2338 0.2338 0.2500  2 Pa 3.02
13 Te 0.3333 0.6667 0.0000  2 Te 3.27
14 Te 0.3333 0.6667 0.5000  2 Te 3.27
15 Te 0.6667 0.3333 0.0000  2 Te 3.27
16 Te 0.6667 0.3333 0.5000  2 Te 3.27
17 Te 0.7662 0.0000 0.2500  2 Pa 3.02
18 Te 0.7662 0.7662 0.7500  2 Pa 3.02

Properties
total energy	-3.988	eV per atom
symmetry	P6_3/mcm
magnetic moment	0.35	μB/f.u.
density of states at the Fermi level	14.94	states/eV per cell
ΔE_f (raw)	-7.40	eV/f.u.

Record 3
A relaxed Ho2AlZn7 crystal, computed with PBE.

Lattice parameters (Å, degrees): 4.0986 4.0986 10.8077 90.00 90.00 90.00
With the nearest neighbours (Å) after each atom.
Fractional positions:
1 Ho 0.0000 0.5000 0.2504  14 Zn 3.13-3.39, 2 Al 3.39
2 Ho 0.5000 0.0000 0.7496  14 Zn 3.13-3.39, 2 Al 3.39
3 Al 0.0000 0.0000 0.5000  4 Zn 2.54
4 Zn 0.0000 0.0000 0.0000  4 Zn 2.53
5 Zn 0.0000 0.5000 0.6392  3 Zn 2.41-2.54, 2 Al 2.54
6 Zn 0.0000 0.5000 0.8624  5 Zn 2.41-2.53
7 Zn 0.5000 0.0000 0.1376  5 Zn 2.41-2.53
8 Zn 0.5000 0.0000 0.3608  3 Zn 2.41-2.54, 2 Al 2.54
9 Zn 0.5000 0.5000 0.0000  4 Zn 2.53
10 Zn 0.5000 0.5000 0.5000  4 Zn 2.54

Properties
total energy	-2.491	eV per atom
symmetry	P-4m2
magnetic moment	0.00	μB/f.u.
density of states at the Fermi level	5.86	states/eV per cell
DFT formation energy	-299	kJ/mol of formula units

Record 4
A relaxed TiTl3Sb2Te6 crystal, computed with PBE.

Lattice parameters (Å, degrees): 7.6147 7.6147 8.3211 98.77 98.77 120.00
With the nearest neighbours (Å) after each atom.
Fractional positions:
1 Ti 0.0000 0.0000 0.0000  6 Te 2.86-2.87
2 Tl 0.1729 0.8271 0.5000  6 Te 3.40-3.53
3 Tl 0.5000 0.5000 0.5000  6 Te 3.40-3.58
4 Tl 0.8271 0.1729 0.5000  6 Te 3.40-3.53
5 Sb 0.3343 0.6657 0.0000  6 Te 3.08-3.09
6 Sb 0.6657 0.3343 0.0000  6 Te 3.08-3.09
7 Te 0.0676 0.3784 0.2036  1 Ti 2.86, 2 Sb 3.08-3.09
8 Te 0.2415 0.2415 0.7942  1 Ti 2.87, 2 Sb 3.09
9 Te 0.3784 0.0676 0.2036  1 Ti 2.86, 2 Sb 3.08-3.09
10 Te 0.6216 0.9324 0.7964  1 Ti 2.86, 2 Sb 3.08-3.09
11 Te 0.7585 0.7585 0.2058  1 Ti 2.87, 2 Sb 3.09
12 Te 0.9324 0.6216 0.7964  1 Ti 2.86, 2 Sb 3.08-3.09

Properties
total energy	-3.834	eV per atom
symmetry	C2/m
magnetic moment	1.01	μB/f.u.
density of states at the Fermi level	5.04	states/eV per cell
ΔE_f (raw)	-3.92	eV/f.u.

Record 5
A relaxed Y6Cu5Ni crystal, computed with PBE.

Lattice parameters (Å, degrees): 4.9005 6.9314 7.7588 90.00 108.28 90.00
With the nearest neighbours (Å) after each atom.
Fractional positions:
1 Y 0.0000 0.2455 0.0000  2 Ni 2.98, 6 Cu 3.02-3.03
2 Y 0.0000 0.7545 0.0000  2 Ni 2.98, 6 Cu 3.02-3.03
3 Y 0.3359 0.2480 0.6715  1 Ni 2.97, 7 Cu 2.98-3.03
4 Y 0.3359 0.7520 0.6715  1 Ni 2.97, 7 Cu 2.98-3.03
5 Y 0.6641 0.2480 0.3285  1 Ni 2.97, 7 Cu 2.98-3.03
6 Y 0.6641 0.7520 0.3285  1 Ni 2.97, 7 Cu 2.98-3.03
7 Cu 0.1662 0.5000 0.3348  8 Y 3.00-3.03
8 Cu 0.1697 0.0000 0.3388  8 Y 2.99-3.02
9 Cu 0.5000 0.5000 0.0000  8 Y 2.98-3.02
10 Cu 0.8303 0.0000 0.6612  8 Y 2.99-3.02
11 Cu 0.8338 0.5000 0.6652  8 Y 3.00-3.03
12 Ni 0.5000 0.0000 0.0000  8 Y 2.97-2.98

Properties
total energy	-5.688	eV per atom
symmetry	P2/m
magnetic moment	0.00	μB/f.u.
density of states at the Fermi level	6.94	states/eV per cell
DFT formation energy	-309	kJ/mol of formula units

Record 6
A relaxed SrMgAg2Hg crystal, computed with PBE.

Lattice parameters (Å, degrees): 7.4430 7.4430 7.4430 146.84 146.23 48.06
With the nearest neighbours (Å) after each atom.
Fractional positions:
1 Sr 0.0000 0.0000 0.0000  4 Ag 3.33, 4 Hg 3.39
2 Mg 0.2592 0.7592 0.5000  6 Ag 2.85-3.03, 2 Hg 2.95
3 Ag 0.3988 0.3988 0.0000  2 Ag 2.85, 2 Mg 2.85, 1 Hg 2.90
4 Ag 0.7625 0.2625 0.5000  2 Ag 2.85, 2 Hg 2.95, 4 Mg 3.03
5 Hg 0.6117 0.6117 0.0000  3 Ag 2.90-2.95, 2 Mg 2.95

Properties
total energy	-2.136	eV per atom
symmetry	Imm2
magnetic moment	0.00	μB/f.u.
density of states at the Fermi level	2.32	states/eV per cell
DFT formation energy	-135	kJ/mol of formula units

Record 7
A relaxed CrNi9Sb2 crystal, computed with PBE.

Lattice parameters (Å, degrees): 3.6877 3.6877 10.9471 90.00 90.00 90.00
With the nearest neighbours (Å) after each atom.
Fractional positions:
1 Cr 0.0000 0.0000 0.0000  12 Ni 2.51-2.61
2 Ni 0.0000 0.5000 0.1549  2 Cr 2.51, 8 Ni 2.51-2.66, 2 Sb 2.63
3 Ni 0.0000 0.5000 0.5000  8 Ni 2.61-2.62, 4 Sb 2.65
4 Ni 0.0000 0.5000 0.8451  2 Cr 2.51, 8 Ni 2.51-2.66, 2 Sb 2.63
5 Ni 0.5000 0.0000 0.1549  2 Cr 2.51, 8 Ni 2.51-2.66, 2 Sb 2.63
6 Ni 0.5000 0.0000 0.5000  8 Ni 2.61-2.62, 4 Sb 2.65
7 Ni 0.5000 0.0000 0.8451  2 Cr 2.51, 8 Ni 2.51-2.66, 2 Sb 2.63
8 Ni 0.5000 0.5000 0.0000  8 Ni 2.51, 4 Cr 2.61
9 Ni 0.5000 0.5000 0.3300  4 Sb 2.61, 8 Ni 2.62-2.66
10 Ni 0.5000 0.5000 0.6700  4 Sb 2.61, 8 Ni 2.62-2.66
11 Sb 0.0000 0.0000 0.3262  12 Ni 2.61-2.65
12 Sb 0.0000 0.0000 0.6738  12 Ni 2.61-2.65

Properties
total energy	-5.912	eV per atom
symmetry	P4/mmm
magnetic moment	2.81	μB/f.u.
density of states at the Fermi level	11.45	states/eV per cell
ΔE_f (raw)	-1.04	eV/f.u.

Record 8
A relaxed Pr3DyY2Se6 crystal, computed with PBE.

Lattice parameters (Å, degrees): 7.1711 7.1711 7.3491 99.35 99.35 120.27
With the nearest neighbours (Å) after each atom.
Fractional positions:
1 Pr 0.0000 0.0000 0.0000  6 Se 3.02
2 Pr 0.3327 0.6673 0.0000  6 Se 3.02
3 Pr 0.6673 0.3327 0.0000  6 Se 3.02
4 Dy 0.5000 0.5000 0.5000  6 Se 2.88
5 Y 0.1667 0.8333 0.5000  6 Se 2.89
6 Y 0.8333 0.1667 0.5000  6 Se 2.89
7 Se 0.0900 0.4225 0.2670  1 Dy 2.88, 2 Y 2.89, 3 Pr 3.02
8 Se 0.2452 0.2452 0.7336  1 Dy 2.88, 2 Y 2.89, 3 Pr 3.02
9 Se 0.4225 0.0900 0.2670  1 Dy 2.88, 2 Y 2.89, 3 Pr 3.02
10 Se 0.5775 0.9100 0.7330  1 Dy 2.88, 2 Y 2.89, 3 Pr 3.02
11 Se 0.7548 0.7548 0.2664  1 Dy 2.88, 2 Y 2.89, 3 Pr 3.02
12 Se 0.9100 0.5775 0.7330  1 Dy 2.88, 2 Y 2.89, 3 Pr 3.02

Properties
total energy	-6.208	eV per atom
symmetry	C2/m
magnetic moment	0.00	μB/f.u.
density of states at the Fermi level	5.78	states/eV per cell
ΔE_f (raw)	-21.72	eV/f.u.

Record 9
A relaxed Sc3Te crystal, computed with PBE.

Lattice parameters (Å, degrees): 9.3739 9.3739 9.3739 22.29 22.29 22.29
With the nearest neighbours (Å) after each atom.
Fractional positions:
1 Sc 0.0000 0.0000 0.0000  12 Sc 3.29-3.62
2 Sc 0.2408 0.2408 0.2408  3 Te 2.92
3 Sc 0.7592 0.7592 0.7592  3 Te 2.92
4 Te 0.5000 0.5000 0.5000  6 Sc 2.92

Properties
polymorph energy (0 for the lowest one)	0.236	eV/atom
total energy	-5.900	eV per atom
symmetry	R-3m
magnetic moment	0.11	μB/f.u.
density of states at the Fermi level	5.74	states/eV per cell
ΔE_f (raw)	-1.46	eV/f.u.

Record 10
A relaxed Zn2Cu3Si crystal, computed with PBE.

Lattice parameters (Å, degrees): 6.3514 6.3514 5.1831 102.19 102.19 55.23
With the nearest neighbours (Å) after each atom.
Fractional positions:
1 Zn 0.1527 0.2179 0.0899  4 Cu 2.52-2.71, 2 Zn 2.62, 1 Si 2.65
2 Zn 0.2179 0.1527 0.5899  4 Cu 2.52-2.71, 2 Zn 2.62, 1 Si 2.65
3 Zn 0.7821 0.8473 0.4101  4 Cu 2.52-2.71, 2 Zn 2.62, 1 Si 2.65
4 Zn 0.8473 0.7821 0.9101  4 Cu 2.52-2.71, 2 Zn 2.62, 1 Si 2.65
5 Cu 0.1850 0.8150 0.7500  3 Si 2.42-2.60, 4 Zn 2.58-2.71, 4 Cu 2.60
6 Cu 0.3816 0.3828 0.9404  2 Si 2.43-2.44, 2 Zn 2.52, 5 Cu 2.58-2.60
7 Cu 0.3828 0.3816 0.4404  2 Si 2.43-2.44, 2 Zn 2.52, 5 Cu 2.58-2.60
8 Cu 0.6172 0.6184 0.5596  2 Si 2.43-2.44, 2 Zn 2.52, 5 Cu 2.58-2.60
9 Cu 0.6184 0.6172 0.0596  2 Si 2.43-2.44, 2 Zn 2.52, 5 Cu 2.58-2.60
10 Cu 0.8150 0.1850 0.2500  3 Si 2.42-2.60, 4 Zn 2.58-2.71, 4 Cu 2.60
11 Si 0.2267 0.7733 0.2500  7 Cu 2.42-2.60, 2 Zn 2.65
12 Si 0.7733 0.2267 0.7500  7 Cu 2.42-2.60, 2 Zn 2.65

Properties
total energy	-3.360	eV per atom
symmetry	C2/c
magnetic moment	0.00	μB/f.u.
density of states at the Fermi level	3.08	states/eV per cell
ΔE_f (raw)	0.10	eV/f.u.

Record 11
A relaxed Ca2InH12Rh3 crystal, computed with PBE.

Lattice parameters (Å, degrees): 5.9165 5.9165 5.9165 66.80 66.80 66.80
With the nearest neighbours (Å) after each atom.
Fractional positions:
1 Ca 0.1181 0.1181 0.1181  3 H 2.17
2 Ca 0.8819 0.8819 0.8819  3 H 2.17
3 In 0.5000 0.5000 0.5000  6 H 2.11
4 H 0.0975 0.6331 0.6331  1 Rh 1.67
5 H 0.1801 0.1801 0.6173  2 Rh 1.78
6 H 0.1801 0.6173 0.1801  2 Rh 1.78
7 H 0.3669 0.3669 0.9025  1 Rh 1.67
8 H 0.3669 0.9025 0.3669  1 Rh 1.67
9 H 0.3827 0.8199 0.8199  2 Rh 1.78
10 H 0.6173 0.1801 0.1801  2 Rh 1.78
11 H 0.6331 0.0975 0.6331  1 Rh 1.67
12 H 0.6331 0.6331 0.0975  1 Rh 1.67
13 H 0.8199 0.3827 0.8199  2 Rh 1.78
14 H 0.8199 0.8199 0.3827  2 Rh 1.78
15 H 0.9025 0.3669 0.3669  1 Rh 1.67
16 Rh 0.0000 0.5000 0.5000  6 H 1.67-1.78
17 Rh 0.5000 0.0000 0.5000  6 H 1.67-1.78
18 Rh 0.5000 0.5000 0.0000  6 H 1.67-1.78

Properties
total energy	-4.035	eV per atom
symmetry	R-3m
magnetic moment	0.00	μB/f.u.
density of states at the Fermi level	3.86	states/eV per cell

Which of these has the highest magnetic moment?
CrNi9Sb2

Please write out number 9 again, unchanged.
A relaxed Sc3Te crystal, computed with PBE.

Lattice parameters (Å, degrees): 9.3739 9.3739 9.3739 22.29 22.29 22.29
With the nearest neighbours (Å) after each atom.
Fractional positions:
1 Sc 0.0000 0.0000 0.0000  12 Sc 3.29-3.62
2 Sc 0.2408 0.2408 0.2408  3 Te 2.92
3 Sc 0.7592 0.7592 0.7592  3 Te 2.92
4 Te 0.5000 0.5000 0.5000  6 Sc 2.92

Properties
polymorph energy (0 for the lowest one)	0.236	eV/atom
total energy	-5.900	eV per atom
symmetry	R-3m
magnetic moment	0.11	μB/f.u.
density of states at the Fermi level	5.74	states/eV per cell
ΔE_f (raw)	-1.46	eV/f.u.

What did the second record say?
A relaxed K3PaTe5 crystal, computed with PBE.

Lattice parameters (Å, degrees): 10.8755 10.8755 6.5452 90.00 90.00 120.00
With the nearest neighbours (Å) after each atom.
Fractional positions:
1 K 0.0000 0.3879 0.2500  9 Te 3.68-4.11, 2 K 4.08
2 K 0.0000 0.6121 0.7500  9 Te 3.68-4.11, 2 K 4.08
3 K 0.3879 0.0000 0.2500  9 Te 3.68-4.11, 2 K 4.08
4 K 0.3879 0.3879 0.7500  9 Te 3.68-4.11, 2 K 4.08
5 K 0.6121 0.0000 0.7500  9 Te 3.68-4.11, 2 K 4.08
6 K 0.6121 0.6121 0.2500  9 Te 3.68-4.11, 2 K 4.08
7 Pa 0.0000 0.0000 0.0000  6 Te 3.02, 2 Pa 3.27
8 Pa 0.0000 0.0000 0.5000  6 Te 3.02, 2 Pa 3.27
9 Te 0.0000 0.2338 0.7500  2 Pa 3.02
10 Te 0.0000 0.7662 0.2500  2 Pa 3.02
11 Te 0.2338 0.0000 0.7500  2 Pa 3.02
12 Te 0.2338 0.2338 0.2500  2 Pa 3.02
13 Te 0.3333 0.6667 0.0000  2 Te 3.27
14 Te 0.3333 0.6667 0.5000  2 Te 3.27
15 Te 0.6667 0.3333 0.0000  2 Te 3.27
16 Te 0.6667 0.3333 0.5000  2 Te 3.27
17 Te 0.7662 0.0000 0.2500  2 Pa 3.02
18 Te 0.7662 0.7662 0.7500  2 Pa 3.02

Properties
total energy	-3.988	eV per atom
symmetry	P6_3/mcm
magnetic moment	0.35	μB/f.u.
density of states at the Fermi level	14.94	states/eV per cell
ΔE_f (raw)	-7.40	eV/f.u.

density of states at the Fermi level of number 7 (CrNi9Sb2)?
11.45 states/eV per cell